P) ! Tb3Pm2In2, optimized geometry, DFT GGA-PBE; values from VASP
&SYSTEM
  ibrav = 0, nat = 14, ntyp = 3
/
ATOMIC_SPECIES
Tb 158.93 Tb.upf
Pm 145.00 Pm.upf
In 114.82 In.upf
ATOMIC_POSITIONS crystal
Tb 0.000 0.000 0.000
Tb 0.210 0.000 0.125
Tb 0.290 0.500 0.875
Tb 0.500 0.500 0.000
Tb 0.710 0.500 0.125
Tb 0.790 0.000 0.875
Pm 0.131 0.000 0.474
Pm 0.369 0.500 0.526
Pm 0.631 0.500 0.474
Pm 0.869 0.000 0.526
In 0.069 0.500 0.747
In 0.431 0.000 0.253
In 0.569 0.000 0.747
In 0.931 0.500 0.253
CELL_PARAMETERS angstrom
16.990 0.000 0.000
0.000 3.509 0.000
-3.810 0.000 7.119
! - DOS(E_F) (states/eV/cell) = 17.3

Q) ! Tb3Pm2In2, optimized geometry, DFT GGA-PBE; values from VASP
&SYSTEM
  ibrav = 0, nat = 14, ntyp = 3
/
ATOMIC_SPECIES
Tb 158.93 Tb.upf
Pm 145.00 Pm.upf
In 114.82 In.upf
ATOMIC_POSITIONS crystal
Tb 0.000 0.000 0.000
Tb 0.000 0.136 0.000
Tb 0.000 0.864 0.000
Tb 0.500 0.364 0.000
Tb 0.500 0.500 0.000
Tb 0.500 0.636 0.000
Pm 0.000 0.289 0.500
Pm 0.000 0.711 0.500
Pm 0.500 0.211 0.500
Pm 0.500 0.789 0.500
In 0.000 0.430 0.500
In 0.000 0.570 0.500
In 0.500 0.070 0.500
In 0.500 0.930 0.500
CELL_PARAMETERS angstrom
4.738 0.000 0.000
0.000 24.821 0.000
0.000 0.000 3.487
! - DOS(E_F) (states/eV/cell) = 15.3

Relative energy table, unit meV per atom: P) 29; Q) 0

P) ! Tb3Pm2In4, optimized geometry, DFT GGA-PBE; values from VASP
&SYSTEM
  ibrav = 0, nat = 9, ntyp = 3
/
ATOMIC_SPECIES
Tb 158.93 Tb.upf
Pm 145.00 Pm.upf
In 114.82 In.upf
ATOMIC_POSITIONS crystal
Tb 0.000 0.000 0.000
Tb 0.333 0.667 0.425
Tb 0.667 0.333 0.575
Pm 0.333 0.667 0.779
Pm 0.667 0.333 0.221
In 0.000 0.000 0.349
In 0.000 0.000 0.651
In 0.333 0.667 0.101
In 0.667 0.333 0.899
CELL_PARAMETERS angstrom
5.333 0.000 0.000
-2.666 4.618 0.000
0.000 0.000 10.413
! - DOS(E_F) (states/eV/cell) = 8.7

Q) ! Tb3Pm2In4, optimized geometry, DFT GGA-PBE; values from VASP
&SYSTEM
  ibrav = 0, nat = 18, ntyp = 3
/
ATOMIC_SPECIES
Tb 158.93 Tb.upf
Pm 145.00 Pm.upf
In 114.82 In.upf
ATOMIC_POSITIONS crystal
Tb 0.000 0.000 0.000
Tb 0.032 0.468 0.250
Tb 0.468 0.032 0.750
Tb 0.500 0.500 0.500
Tb 0.532 0.968 0.250
Tb 0.968 0.532 0.750
Pm 0.109 0.891 0.425
Pm 0.391 0.609 0.925
Pm 0.609 0.391 0.075
Pm 0.891 0.109 0.575
In 0.184 0.816 0.038
In 0.217 0.283 0.250
In 0.283 0.217 0.750
In 0.316 0.684 0.538
In 0.684 0.316 0.462
In 0.717 0.783 0.250
In 0.783 0.717 0.750
In 0.816 0.184 0.962
CELL_PARAMETERS angstrom
3.555 -8.307 0.000
3.555 8.307 0.000
0.000 0.000 9.169
! - DOS(E_F) (states/eV/cell) = 14.9

Relative energy table, unit meV per atom: P) 0; Q) 119

P) ! TbPm6In2, optimized geometry, DFT GGA-PBE; values from VASP
&SYSTEM
  ibrav = 0, nat = 9, ntyp = 3
/
ATOMIC_SPECIES
Tb 158.93 Tb.upf
Pm 145.00 Pm.upf
In 114.82 In.upf
ATOMIC_POSITIONS crystal
Tb 0.000 0.000 0.000
Pm 0.000 0.000 0.411
Pm 0.000 0.411 0.000
Pm 0.000 0.588 0.588
Pm 0.500 0.266 0.266
Pm 0.500 0.734 0.999
Pm 0.500 0.999 0.734
In 0.500 0.333 0.666
In 0.500 0.666 0.333
CELL_PARAMETERS angstrom
4.650 0.000 0.000
0.000 7.361 4.248
0.000 -7.361 4.248
! - DOS(E_F) (states/eV/cell) = 11.4

Q) ! TbPm6In2, optimized geometry, DFT GGA-PBE; values from VASP
&SYSTEM
  ibrav = 0, nat = 9, ntyp = 3
/
ATOMIC_SPECIES
Tb 158.93 Tb.upf
Pm 145.00 Pm.upf
In 114.82 In.upf
ATOMIC_POSITIONS crystal
Tb 0.000 0.000 0.000
Pm 0.008 0.008 0.676
Pm 0.327 0.327 0.446
Pm 0.330 0.330 0.109
Pm 0.670 0.670 0.891
Pm 0.673 0.673 0.554
Pm 0.992 0.992 0.324
In 0.340 0.340 0.784
In 0.660 0.660 0.216
CELL_PARAMETERS angstrom
5.615 -2.425 0.000
5.615 2.425 0.000
-3.453 0.000 10.065
! - DOS(E_F) (states/eV/cell) = 10.7

Relative energy table, unit meV per atom: P) 109; Q) 0

P) ! Tb2Pm5In4, optimized geometry, DFT GGA-PBE; values from VASP
&SYSTEM
  ibrav = 0, nat = 11, ntyp = 3
/
ATOMIC_SPECIES
Tb 158.93 Tb.upf
Pm 145.00 Pm.upf
In 114.82 In.upf
ATOMIC_POSITIONS crystal
Tb 0.116 0.116 0.000
Tb 0.884 0.884 0.000
Pm 0.000 0.500 0.500
Pm 0.158 0.840 0.318
Pm 0.478 0.160 0.318
Pm 0.522 0.840 0.682
Pm 0.842 0.160 0.682
In 0.247 0.247 0.000
In 0.328 0.000 0.328
In 0.672 0.000 0.672
In 0.753 0.753 0.000
CELL_PARAMETERS angstrom
-1.761 4.647 11.203
1.761 -4.647 11.203
1.761 4.647 -11.203
! - DOS(E_F) (states/eV/cell) = 14.7

Q) ! Tb2Pm5In4, optimized geometry, DFT GGA-PBE; values from VASP
&SYSTEM
  ibrav = 0, nat = 11, ntyp = 3
/
ATOMIC_SPECIES
Tb 158.93 Tb.upf
Pm 145.00 Pm.upf
In 114.82 In.upf
ATOMIC_POSITIONS crystal
Tb 0.082 0.000 0.138
Tb 0.918 0.000 0.862
Pm 0.159 0.000 0.642
Pm 0.461 0.000 0.166
Pm 0.500 0.000 0.500
Pm 0.539 0.000 0.834
Pm 0.841 0.000 0.358
In 0.200 0.500 0.377
In 0.245 0.500 0.923
In 0.755 0.500 0.077
In 0.800 0.500 0.623
CELL_PARAMETERS angstrom
8.757 0.000 0.000
0.000 3.456 0.000
-1.031 0.000 10.654
! - DOS(E_F) (states/eV/cell) = 12.4

Relative energy table, unit meV per atom: P) 490; Q) 0

P) ! Tb4Pm2In, optimized geometry, DFT GGA-PBE; values from VASP
&SYSTEM
  ibrav = 0, nat = 14, ntyp = 3
/
ATOMIC_SPECIES
Tb 158.93 Tb.upf
Pm 145.00 Pm.upf
In 114.82 In.upf
ATOMIC_POSITIONS crystal
Tb 0.068 0.154 0.000
Tb 0.068 0.346 0.500
Tb 0.401 0.750 0.250
Tb 0.401 0.750 0.750
Tb 0.599 0.250 0.250
Tb 0.599 0.250 0.750
Tb 0.932 0.654 0.500
Tb 0.932 0.846 0.000
Pm 0.245 0.042 0.500
Pm 0.245 0.458 0.000
Pm 0.755 0.542 0.000
Pm 0.755 0.958 0.500
In 0.500 0.000 0.000
In 0.500 0.500 0.500
CELL_PARAMETERS angstrom
6.307 0.000 0.000
0.000 10.786 0.000
-0.011 0.000 6.520
! - DOS(E_F) (states/eV/cell) = 18.4

Q) ! Tb4Pm2In, optimized geometry, DFT GGA-PBE; values from VASP
&SYSTEM
  ibrav = 0, nat = 7, ntyp = 3
/
ATOMIC_SPECIES
Tb 158.93 Tb.upf
Pm 145.00 Pm.upf
In 114.82 In.upf
ATOMIC_POSITIONS crystal
Tb 0.091 0.091 0.091
Tb 0.291 0.291 0.291
Tb 0.709 0.709 0.709
Tb 0.909 0.909 0.909
Pm 0.192 0.192 0.192
Pm 0.808 0.808 0.808
In 0.000 0.000 0.000
CELL_PARAMETERS angstrom
1.818 1.049 19.609
-1.818 1.049 19.609
0.000 -2.099 19.609
! - DOS(E_F) (states/eV/cell) = 11.2

Relative energy table, unit meV per atom: P) 22; Q) 0

P) ! Tb5Pm4In, optimized geometry, DFT GGA-PBE; values from VASP
&SYSTEM
  ibrav = 0, nat = 10, ntyp = 3
/
ATOMIC_SPECIES
Tb 158.93 Tb.upf
Pm 145.00 Pm.upf
In 114.82 In.upf
ATOMIC_POSITIONS crystal
Tb 0.000 0.000 0.000
Tb 0.000 0.000 0.207
Tb 0.000 0.000 0.412
Tb 0.000 0.000 0.588
Tb 0.000 0.000 0.793
Pm 0.500 0.500 0.102
Pm 0.500 0.500 0.304
Pm 0.500 0.500 0.696
Pm 0.500 0.500 0.898
In 0.500 0.500 0.500
CELL_PARAMETERS angstrom
4.175 0.000 0.000
0.000 4.175 0.000
0.000 0.000 18.233
! - DOS(E_F) (states/eV/cell) = 16.7

Q) ! Tb5Pm4In, optimized geometry, DFT GGA-PBE; values from VASP
&SYSTEM
  ibrav = 0, nat = 10, ntyp = 3
/
ATOMIC_SPECIES
Tb 158.93 Tb.upf
Pm 145.00 Pm.upf
In 114.82 In.upf
ATOMIC_POSITIONS crystal
Tb 0.000 0.000 0.000
Tb 0.103 0.103 0.630
Tb 0.103 0.473 0.000
Tb 0.473 0.103 0.000
Tb 0.473 0.473 0.370
Pm 0.104 0.793 0.312
Pm 0.481 0.793 0.688
Pm 0.793 0.104 0.312
Pm 0.793 0.481 0.688
In 0.517 0.517 0.000
CELL_PARAMETERS angstrom
-5.360 5.360 2.935
5.360 -5.360 2.935
5.360 5.360 -2.935
! - DOS(E_F) (states/eV/cell) = 13.9

Relative energy table, unit meV per atom: P) 0; Q) 76

P) ! Tb3Pm2In, optimized geometry, DFT GGA-PBE; values from VASP
&SYSTEM
  ibrav = 0, nat = 12, ntyp = 3
/
ATOMIC_SPECIES
Tb 158.93 Tb.upf
Pm 145.00 Pm.upf
In 114.82 In.upf
ATOMIC_POSITIONS crystal
Tb 0.000 0.000 0.000
Tb 0.213 0.671 0.541
Tb 0.370 0.329 0.041
Tb 0.500 0.000 0.500
Tb 0.630 0.671 0.959
Tb 0.787 0.329 0.459
Pm 0.074 0.824 0.250
Pm 0.225 0.475 0.750
Pm 0.775 0.525 0.250
Pm 0.926 0.176 0.750
In 0.396 0.146 0.250
In 0.604 0.854 0.750
CELL_PARAMETERS angstrom
-2.580 4.682 7.764
2.580 -4.682 7.764
2.580 4.682 -7.764
! - DOS(E_F) (states/eV/cell) = 15.3

Q) ! Tb3Pm2In, optimized geometry, DFT GGA-PBE; values from VASP
&SYSTEM
  ibrav = 0, nat = 12, ntyp = 3
/
ATOMIC_SPECIES
Tb 158.93 Tb.upf
Pm 145.00 Pm.upf
In 114.82 In.upf
ATOMIC_POSITIONS crystal
Tb 0.000 0.000 0.000
Tb 0.000 0.336 0.000
Tb 0.000 0.664 0.000
Tb 0.500 0.164 0.000
Tb 0.500 0.500 0.000
Tb 0.500 0.836 0.000
Pm 0.000 0.162 0.500
Pm 0.000 0.838 0.500
Pm 0.500 0.338 0.500
Pm 0.500 0.662 0.500
In 0.000 0.500 0.500
In 0.500 0.000 0.500
CELL_PARAMETERS angstrom
4.901 0.000 0.000
0.000 15.276 0.000
0.000 0.000 4.927
! - DOS(E_F) (states/eV/cell) = 14.6

Relative energy table, unit meV per atom: P) 15; Q) 0

P) ! Tb2PmIn2, optimized geometry, DFT GGA-PBE; values from VASP
&SYSTEM
  ibrav = 0, nat = 10, ntyp = 3
/
ATOMIC_SPECIES
Tb 158.93 Tb.upf
Pm 145.00 Pm.upf
In 114.82 In.upf
ATOMIC_POSITIONS crystal
Tb 0.049 0.250 0.099
Tb 0.239 0.250 0.479
Tb 0.761 0.750 0.521
Tb 0.951 0.750 0.901
Pm 0.144 0.750 0.288
Pm 0.856 0.250 0.712
In 0.350 0.750 0.700
In 0.454 0.250 0.909
In 0.546 0.750 0.091
In 0.650 0.250 0.300
CELL_PARAMETERS angstrom
4.419 0.000 0.000
0.000 4.984 0.000
-2.206 0.000 12.893
! - DOS(E_F) (states/eV/cell) = 10.8

Q) ! Tb2PmIn2, optimized geometry, DFT GGA-PBE; values from VASP
&SYSTEM
  ibrav = 0, nat = 10, ntyp = 3
/
ATOMIC_SPECIES
Tb 158.93 Tb.upf
Pm 145.00 Pm.upf
In 114.82 In.upf
ATOMIC_POSITIONS crystal
Tb 0.000 0.000 0.000
Tb 0.000 0.000 0.500
Tb 0.333 0.667 0.250
Tb 0.667 0.333 0.750
Pm 0.000 0.000 0.250
Pm 0.000 0.000 0.750
In 0.333 0.667 0.630
In 0.333 0.667 0.870
In 0.667 0.333 0.130
In 0.667 0.333 0.370
CELL_PARAMETERS angstrom
5.192 0.000 0.000
-2.596 4.496 0.000
0.000 0.000 12.889
! - DOS(E_F) (states/eV/cell) = 6.8

Relative energy table, unit meV per atom: P) 0; Q) 309